Record 1
Computed, not measured: CePmNiRu after structural relaxation at the PBE-GGA level of DFT.

Unit cell a=4.8961 b=4.8961 c=4.8961 alpha=60.00 beta=60.00 gamma=60.00
Fractional positions:
Ce (0.7500, 0.7500, 0.7500)
Ru (0.0000, 0.0000, 0.0000)
Pm (0.2500, 0.2500, 0.2500)
Ni (0.5000, 0.5000, 0.5000)

Computed properties:
Total magnetization   0.4 μB per cell
Energy above the most stable polymorph in this dataset   0.45 eV/f.u.
Formation energy from the elements   -0.244 eV per atom
D(E_F)   4.2 states/eV/cell

=====

Record 2
Computed, not measured: Zn2Sn2As after structural relaxation at the PBE-GGA level of DFT.

Unit cell a=7.0131 b=7.0131 c=4.4562 alpha=90.00 beta=90.00 gamma=90.00
Fractional positions:
Zn (0.6287, 0.1287, 0.0000)
Zn (0.3713, 0.8713, 0.0000)
Zn (0.8713, 0.6287, 0.0000)
Zn (0.1287, 0.3713, 0.0000)
Sn (0.8237, 0.3237, 0.5000)
Sn (0.3237, 0.1763, 0.5000)
Sn (0.6763, 0.8237, 0.5000)
Sn (0.1763, 0.6763, 0.5000)
As (0.0000, 0.0000, 0.0000)
As (0.5000, 0.5000, 0.0000)

Computed properties:
Total magnetization   0.0 μB per cell
Energy above the most stable polymorph in this dataset   0.00 eV/f.u.
Formation energy from the elements   0.128 eV per atom
D(E_F)   6.8 states/eV/cell

=====

Record 3
Computed, not measured: Na10B13C7 after structural relaxation at the PBE-GGA level of DFT.

Unit cell a=7.5119 b=7.5119 c=10.2438 alpha=121.34 beta=121.34 gamma=39.39
Fractional positions:
Na (0.9970, 0.9977, 0.4932)
Na (0.6037, 0.5987, 0.0036)
Na (0.0015, 0.0000, 0.0017)
Na (0.4013, 0.4000, 0.0018)
Na (0.8000, 0.7987, 0.4982)
Na (0.2023, 0.2030, 0.0068)
Na (0.6013, 0.5963, 0.4964)
Na (0.4006, 0.3959, 0.4962)
Na (0.8041, 0.7994, 0.0038)
Na (0.2000, 0.1985, 0.4983)
B (0.1400, 0.8691, 0.7498)
B (0.8318, 0.1687, 0.2501)
B (0.9692, 0.6229, 0.7501)
B (0.3309, 0.0600, 0.7502)
B (0.5771, 0.2308, 0.7499)
B (0.2317, 0.5686, 0.2500)
B (0.7788, 0.4212, 0.7500)
B (0.6386, 0.9533, 0.7501)
B (0.6314, 0.9683, 0.2500)
B (0.0313, 0.3682, 0.2499)
B (0.4316, 0.7684, 0.2500)
B (0.2467, 0.5614, 0.7499)
B (0.4499, 0.7501, 0.7500)
C (0.9661, 0.6335, 0.2496)
C (0.0319, 0.3642, 0.7501)
C (0.3662, 0.0335, 0.2498)
C (0.8358, 0.1681, 0.7499)
C (0.7662, 0.4338, 0.2500)
C (0.5665, 0.2339, 0.2504)
C (0.1665, 0.8338, 0.2502)

Computed properties:
Total magnetization   0.0 μB per cell
Energy above the most stable polymorph in this dataset   0.70 eV/f.u.
Formation energy from the elements   0.109 eV per atom
D(E_F)   3.2 states/eV/cell

=====

Record 4
Computed, not measured: Ce4I2N after structural relaxation at the PBE-GGA level of DFT.

Unit cell a=4.7534 b=4.7534 c=8.7087 alpha=74.16 beta=74.16 gamma=90.00
Fractional positions:
N (0.0000, 0.0000, 0.0000)
I (0.6435, 0.6435, 0.7131)
I (0.3565, 0.3565, 0.2869)
Ce (0.1546, 0.1546, 0.6909)
Ce (0.5000, 0.0000, 0.0000)
Ce (0.8454, 0.8454, 0.3091)
Ce (0.0000, 0.5000, 0.0000)

Computed properties:
Formation energy without anion corrections   -752 meV/atom
Total magnetization   2.0 μB per cell
D(E_F)   15.1 states/eV/cell